Entry from Alexandria via LeMat-Bulk: crystalline CeThTePt at its relaxed geometry (PBE-GGA).

Lattice parameters (Å, degrees): 4.187 4.187 8.177 90.00 104.84 120.00
Site moments in Bohr magnetons follow the coordinates.
Atoms (fractional coordinates):
Te 0.968 0.382 0.366  -0.01
Th 0.109 0.952 0.077  0.00
Pt 0.306 0.551 0.873  -0.02
Ce 0.494 0.145 0.654  0.74

Values from the calculation:
Final energy   -27.09 eV per cell
Formation energy without anion corrections   -1.1393 eV/atom



Entry from Alexandria via LeMat-Bulk: crystalline Ce2ThPt at its relaxed geometry (PBE-GGA).

Lattice parameters (Å, degrees): 6.010 6.942 10.224 90.00 90.00 90.00
Atoms (fractional coordinates):
Ce 0.380 0.176 0.456
Pt 0.371 0.888 0.250
Ce 0.620 0.824 0.956
Ce 0.620 0.824 0.544
Pt 0.871 0.612 0.750
Pt 0.129 0.388 0.250
Th 0.361 0.463 0.750
Ce 0.120 0.676 0.044
Ce 0.120 0.676 0.456
Th 0.861 0.037 0.250
Ce 0.880 0.324 0.956
Th 0.639 0.537 0.250
Th 0.139 0.963 0.750
Ce 0.380 0.176 0.044
Ce 0.880 0.324 0.544
Pt 0.629 0.112 0.750

Values from the calculation:
Relative energy among the computed polymorphs   0.00 eV per formula unit
Formation enthalpy at 0 K   -2.19 eV per formula unit
Final energy   -110.07 eV per cell



Entry from Alexandria via LeMat-Bulk: crystalline CeThPt at its relaxed geometry (PBE-GGA).

Lattice parameters (Å, degrees): 3.932 4.699 4.699 120.00 90.00 90.00
Site moments in Bohr magnetons follow the coordinates.
Atoms (fractional coordinates):
Ce 0.654 0.333 0.667  0.18
Th 0.018 0.000 0.000  0.01
Pt 0.327 0.667 0.333  0.00

Values from the calculation:
Relative energy among the computed polymorphs   0.54 eV per formula unit
Formation enthalpy at 0 K   -1.73 eV per formula unit
Final energy   -21.12 eV per cell



Entry from Alexandria via LeMat-Bulk: crystalline Ce2ThPt at its relaxed geometry (PBE-GGA).

Lattice parameters (Å, degrees): 3.614 10.653 11.129 90.00 90.00 99.77
Site moments in Bohr magnetons follow the coordinates.
Atoms (fractional coordinates):
Ce 0.909 0.818 0.250  0.45
Ce 0.963 0.926 0.750  0.17
Ce 0.703 0.406 0.911  0.08
Th 0.500 0.000 0.500  0.02
Ce 0.037 0.074 0.250  0.17
Ce 0.091 0.182 0.750  0.45
Ce 0.703 0.406 0.589  0.08
Th 0.683 0.366 0.250  0.00
Pt 0.129 0.257 0.448  0.00
Th 0.317 0.634 0.750  0.00
Pt 0.129 0.257 0.052  0.00
Pt 0.871 0.743 0.552  0.00
Pt 0.871 0.743 0.948  0.00
Ce 0.297 0.594 0.411  0.08
Th 0.500 0.000 0.000  0.02
Ce 0.297 0.594 0.089  0.08

Values from the calculation:
Relative energy among the computed polymorphs   0.31 eV per formula unit
Formation enthalpy at 0 K   -1.88 eV per formula unit
Final energy   -108.84 eV per cell



Entry from Alexandria via LeMat-Bulk: crystalline Ce2ThPt9 at its relaxed geometry (PBE-GGA).

Lattice parameters (Å, degrees): 4.196 4.196 12.572 90.00 90.00 90.00
Site moments in Bohr magnetons follow the coordinates.
Atoms (fractional coordinates):
Pt 0.500 0.000 0.831  -0.01
Pt 0.000 0.500 0.500  -0.01
Pt 0.500 0.000 0.500  -0.01
Ce 0.000 0.000 0.336  0.29
Th 0.000 0.000 0.000  0.00
Pt 0.500 0.500 0.000  0.00
Pt 0.000 0.500 0.169  -0.01
Pt 0.000 0.500 0.831  -0.01
Pt 0.500 0.500 0.666  -0.01
Ce 0.000 0.000 0.664  0.29
Pt 0.500 0.000 0.169  -0.01
Pt 0.500 0.500 0.334  -0.01

Values from the calculation:
Relative energy among the computed polymorphs   0.00 eV per formula unit
Formation enthalpy at 0 K   -12.32 eV per formula unit
Final energy   -85.98 eV per cell



Entry from Alexandria via LeMat-Bulk: crystalline CeThPt at its relaxed geometry (PBE-GGA).

Lattice parameters (Å, degrees): 3.821 8.552 9.581 90.00 90.00 90.00
Site moments in Bohr magnetons follow the coordinates.
Atoms (fractional coordinates):
Ce 0.750 0.353 0.457  0.12
Pt 0.750 0.746 0.338  0.00
Pt 0.250 0.254 0.662  0.00
Th 0.750 0.977 0.661  0.00
Pt 0.750 0.246 0.162  0.00
Ce 0.750 0.853 0.043  0.12
Ce 0.250 0.147 0.957  0.12
Ce 0.250 0.647 0.543  0.12
Th 0.250 0.523 0.161  0.00
Th 0.250 0.023 0.339  0.00
Th 0.750 0.477 0.839  0.00
Pt 0.250 0.754 0.838  0.00

Values from the calculation:
Relative energy among the computed polymorphs   0.00 eV per formula unit
Formation enthalpy at 0 K   -2.27 eV per formula unit
Final energy   -86.64 eV per cell



Entry from Alexandria via LeMat-Bulk: crystalline CeTh2Pt at its relaxed geometry (PBE-GGA).

Lattice parameters (Å, degrees): 3.772 6.305 10.016 90.00 90.00 107.40
Site moments in Bohr magnetons follow the coordinates.
Atoms (fractional coordinates):
Ce 0.084 0.167 0.750  0.28
Pt 0.222 0.444 0.250  0.00
Th 0.636 0.271 0.050  0.00
Pt 0.778 0.556 0.750  0.00
Th 0.364 0.729 0.550  0.00
Th 0.364 0.729 0.950  0.00
Th 0.636 0.271 0.450  0.00
Ce 0.916 0.833 0.250  0.28

Values from the calculation:
Relative energy among the computed polymorphs   0.00 eV per formula unit
Formation enthalpy at 0 K   -2.27 eV per formula unit
Final energy   -58.17 eV per cell



Entry from Alexandria via LeMat-Bulk: crystalline Ce2ThPt9 at its relaxed geometry (PBE-GGA).

Lattice parameters (Å, degrees): 5.429 5.429 9.537 73.46 73.46 60.00
Site moments in Bohr magnetons follow the coordinates.
Atoms (fractional coordinates):
Pt 0.586 0.586 0.745  -0.03
Ce 0.860 0.860 0.419  0.53
Th 0.000 0.000 0.000  0.02
Pt 0.667 0.667 0.999  -0.01
Pt 0.414 0.414 0.255  -0.03
Pt 0.500 0.500 0.500  -0.02
Pt 0.414 0.918 0.255  -0.03
Ce 0.140 0.140 0.581  0.53
Pt 0.082 0.586 0.745  -0.03
Pt 0.918 0.414 0.255  -0.03
Pt 0.586 0.082 0.745  -0.03
Pt 0.333 0.333 0.001  -0.01

Values from the calculation:
Relative energy among the computed polymorphs   0.91 eV per formula unit
Formation enthalpy at 0 K   -11.41 eV per formula unit
Final energy   -85.06 eV per cell



Entry from Alexandria via LeMat-Bulk: crystalline Ce2ThPt3 at its relaxed geometry (PBE-GGA).

Lattice parameters (Å, degrees): 4.219 4.219 9.162 103.31 103.31 89.99
Site moments in Bohr magnetons follow the coordinates.
Atoms (fractional coordinates):
Pt 0.268 0.269 0.542  -0.02
Pt 0.934 0.936 0.874  -0.01
Th 0.434 0.436 0.874  0.00
Pt 0.601 0.602 0.206  -0.02
Ce 0.101 0.102 0.208  0.59
Ce 0.767 0.768 0.540  0.59

Values from the calculation:
Formation enthalpy at 0 K   -6.77 eV per formula unit
Final energy   -44.18 eV per cell



Entry from Alexandria via LeMat-Bulk: crystalline CeTh2Pt at its relaxed geometry (PBE-GGA).

Lattice parameters (Å, degrees): 6.399 7.154 10.014 90.00 90.00 90.00
Site moments in Bohr magnetons follow the coordinates.
Atoms (fractional coordinates):
Pt 0.096 0.383 0.250  0.00
Th 0.867 0.310 0.943  0.01
Th 0.633 0.810 0.557  0.01
Pt 0.904 0.617 0.750  0.00
Th 0.367 0.190 0.057  0.01
Ce 0.654 0.536 0.250  0.35
Th 0.633 0.810 0.943  0.01
Ce 0.154 0.964 0.750  0.35
Pt 0.404 0.883 0.250  0.00
Pt 0.596 0.117 0.750  0.00
Th 0.867 0.310 0.557  0.01
Ce 0.346 0.464 0.750  0.35
Th 0.133 0.690 0.443  0.01
Th 0.367 0.190 0.443  0.01
Th 0.133 0.690 0.057  0.01
Ce 0.846 0.036 0.250  0.35

Values from the calculation:
Relative energy among the computed polymorphs   0.11 eV per formula unit
Formation enthalpy at 0 K   -2.16 eV per formula unit
Final energy   -115.88 eV per cell



Entry from Alexandria via LeMat-Bulk: crystalline Ce2ThPt at its relaxed geometry (PBE-GGA).

Lattice parameters (Å, degrees): 3.568 3.568 10.758 80.45 80.45 60.00
Site moments in Bohr magnetons follow the coordinates.
Atoms (fractional coordinates):
Ce 0.104 0.104 0.689  0.70
Pt 0.500 0.500 0.500  -0.02
Th 0.000 0.000 0.000  0.04
Ce 0.896 0.896 0.311  0.70

Values from the calculation:
Relative energy among the computed polymorphs   1.60 eV per formula unit
Formation enthalpy at 0 K   -0.59 eV per formula unit
Final energy   -25.92 eV per cell



Entry from Alexandria via LeMat-Bulk: crystalline Ce2ThPt at its relaxed geometry (PBE-GGA).

Lattice parameters (Å, degrees): 3.741 3.741 9.719 78.90 78.90 60.00
Site moments in Bohr magnetons follow the coordinates.
Atoms (fractional coordinates):
Ce 0.267 0.267 0.199  0.56
Th 0.499 0.499 0.503  0.04
Ce 0.067 0.067 0.800  0.13
Pt 0.667 0.667 0.998  -0.01

Values from the calculation:
Relative energy among the computed polymorphs   0.77 eV per formula unit
Formation enthalpy at 0 K   -1.42 eV per formula unit
Final energy   -26.75 eV per cell